1.
This record from the Alexandria database describes a relaxed CaYZn4 crystal. The functional is GGA-PBE.

Summary:
- E_tot (eV per atom) = -2.56

Geometry as POSCAR:
```
CaYZn4
1.0
-2.4697 -2.9238 3.9606
2.6656 -1.0746 4.6983
-1.5576 2.4607 4.6747
Zn Ca Y
4 1 1
Direct
0.6260 0.6260 0.1221 Zn
0.1221 0.6260 0.6260 Zn
0.6260 0.1221 0.6260 Zn
0.6260 0.6260 0.6260 Zn
0.2500 0.2500 0.2500 Ca
0.0000 0.0000 0.0000 Y
```



2.
This record from the Alexandria database describes a relaxed Sc2TlAu crystal. The functional is GGA-PBE.

Summary:
- E_tot (eV per atom) = -4.93

Geometry as POSCAR:
```
Sc2TlAu
1.0
-1.5863 -0.1093 -3.3393
-2.3065 -2.7141 1.1845
-4.2283 4.4069 1.8644
Sc Au Tl
2 1 1
Direct
0.5000 0.5000 0.2585 Sc
0.0000 0.0000 0.9715 Sc
0.5000 0.5000 0.7770 Au
0.0000 0.0000 0.4929 Tl
```



3.
This record from the Alexandria database describes a relaxed TlGaCuPb2 crystal. The functional is GGA-PBE.

Summary:
- E_tot (eV per atom) = -3.05

Geometry as POSCAR:
```
TlGaCuPb2
1.0
-3.5716 -1.7163 -3.9849
3.4931 -0.2097 -3.0405
0.9454 -5.3452 1.4548
Pb Tl Ga Cu
2 1 1 1
Direct
0.5000 0.0000 0.0000 Pb
0.0000 0.0000 0.5000 Pb
0.5000 0.5000 0.5000 Tl
0.0000 0.0000 0.0000 Ga
0.0000 0.5000 0.0000 Cu
```



4.
This record from the Alexandria database describes a relaxed NaSi crystal. The functional is GGA-PBE.

Summary:
- E_tot (eV per atom) = -3.24
- E_form (uncorrected) (eV/atom) = 0.130

Geometry as POSCAR:
```
NaSi
1.0
11.3365 0.0000 0.0000
0.0000 11.3365 0.0000
0.0000 0.0000 3.8133
Na Si
8 8
Direct
0.2317 0.0000 0.5000 Na
0.0000 0.7683 0.5000 Na
0.5000 0.2683 0.0000 Na
0.7317 0.5000 0.0000 Na
0.2683 0.5000 0.0000 Na
0.7683 0.0000 0.5000 Na
0.5000 0.7317 0.0000 Na
0.0000 0.2317 0.5000 Na
0.2092 0.7908 0.0000 Si
0.7908 0.2092 0.0000 Si
0.7908 0.7908 0.0000 Si
0.7092 0.7092 0.5000 Si
0.2092 0.2092 0.0000 Si
0.2908 0.2908 0.5000 Si
0.7092 0.2908 0.5000 Si
0.2908 0.7092 0.5000 Si
```



5.
This record from the Alexandria database describes a relaxed YTh2Sn9 crystal. The functional is GGA-PBE.

Summary:
- E_tot (eV per atom) = -5.22

Geometry as POSCAR:
```
YTh2Sn9
1.0
-1.7632 0.7188 -4.3456
3.1146 -3.1064 -1.7775
-9.3213 -10.5147 2.0428
Sn Th Y
9 2 1
Direct
0.0000 0.5000 0.1639 Sn
0.5000 0.5000 0.6689 Sn
0.5000 0.0000 0.8361 Sn
0.5000 0.5000 0.3311 Sn
0.5000 0.0000 0.1639 Sn
0.0000 0.5000 0.5000 Sn
0.5000 0.5000 0.0000 Sn
0.0000 0.5000 0.8361 Sn
0.5000 0.0000 0.5000 Sn
0.0000 0.0000 0.3340 Th
0.0000 0.0000 0.6660 Th
0.0000 0.0000 0.0000 Y
```



6.
This record from the Alexandria database describes a relaxed PmEuMgSb crystal. The functional is GGA-PBE.

Summary:
- E_tot (eV per atom) = -5.65
- E_form (uncorrected) (eV/atom) = -0.462

Geometry as POSCAR:
```
PmEuMgSb
1.0
5.4666 0.0000 0.0000
2.7333 4.7342 0.0000
2.7333 1.5781 4.4635
Sb Pm Mg Eu
1 1 1 1
Direct
0.5000 0.5000 0.5000 Sb
0.2500 0.2500 0.2500 Pm
0.0000 0.0000 0.0000 Mg
0.7500 0.7500 0.7500 Eu
```



7.
This record from the Alexandria database describes a relaxed ErTmIr crystal. The functional is GGA-PBE.

Summary:
- E_tot (eV per atom) = -6.72

Geometry as POSCAR:
```
ErTmIr
1.0
-4.5068 -1.5050 0.1236
-0.9569 -4.6530 -0.1592
-1.6596 -2.2185 3.8621
Tm Er Ir
1 1 1
Direct
0.0000 0.0000 0.0000 Tm
0.5000 0.5000 0.5000 Er
0.2500 0.2500 0.2500 Ir
```



8.
This record from the Alexandria database describes a relaxed PtWAu2 crystal. The functional is GGA-PBE.

Summary:
- E_tot (eV per atom) = -6.10

Geometry as POSCAR:
```
PtWAu2
1.0
-2.7042 3.9567 0.1863
-4.3120 -1.5680 -1.3967
2.8111 -1.8042 3.4417
Au W Pt
2 1 1
Direct
0.0000 0.0000 0.0000 Au
0.2500 0.7500 0.5000 Au
0.7500 0.2500 0.5000 W
0.5000 0.5000 0.0000 Pt
```